TbCdAs2 after structural relaxation. Source: the Open Quantum Materials Database, functional PBE.

Cell: 6.287 6.287 6.287 Å, 106.92 106.92 114.70°
Atoms (fractional coordinates):
As (0.646, 0.125, 0.021)
As (0.375, 0.354, 0.479)
As (0.875, 0.896, 0.521)
As (0.104, 0.625, 0.979)
Cd (0.000, 0.000, 0.000)
Cd (0.750, 0.250, 0.500)
Tb (0.500, 0.500, 0.000)
Tb (0.250, 0.750, 0.500)

## Properties
The calculation puts the total energy at -4.195 eV/atom.


CsRbPdI4 after structural relaxation. Source: the Open Quantum Materials Database, functional PBE.

Cell: 5.081 8.202 8.311 Å, 90.00 90.00 90.00°
Atoms (fractional coordinates):
Cs (0.000, 0.000, 0.000)
I (0.500, 0.230, 0.276)
I (0.500, 0.770, 0.276)
I (0.500, 0.230, 0.724)
I (0.500, 0.770, 0.724)
Pd (0.500, 0.000, 0.500)
Rb (0.000, 0.500, 0.500)

## Properties
The calculation puts the total energy at -2.862 eV/atom.


KCo2P2 after structural relaxation. Source: the Open Quantum Materials Database, functional PBE.

Cell: 7.117 7.117 7.117 Å, 150.16 150.16 42.71°
Atoms (fractional coordinates):
Co (0.750, 0.250, 0.500)
Co (0.250, 0.750, 0.500)
K (0.000, 0.000, 0.000)
P (0.341, 0.341, 0.000)
P (0.659, 0.659, 0.000)

## Properties
The calculation puts the total energy at -5.821 eV/atom.


Na4Zn2CuPt after structural relaxation. Source: the Open Quantum Materials Database, functional PBE.

Cell: 4.697 4.697 6.635 Å, 90.00 90.00 90.00°
Atoms (fractional coordinates):
Cu (0.000, 0.000, 0.000)
Na (0.500, 0.500, 0.000)
Na (0.500, 0.000, 0.245)
Na (0.000, 0.000, 0.500)
Na (0.000, 0.500, 0.755)
Pt (0.500, 0.500, 0.500)
Zn (0.000, 0.500, 0.266)
Zn (0.500, 0.000, 0.734)

## Properties
The calculation puts the total energy at -2.184 eV/atom.


Lu2AuO4 after structural relaxation. Source: the Open Quantum Materials Database, functional PBE.

Cell: 6.628 6.628 6.628 Å, 119.99 90.02 119.99°
Atoms (fractional coordinates):
Au (0.000, 0.000, 0.000)
Au (0.750, 0.500, 0.250)
Lu (0.375, 0.750, 0.125)
Lu (0.375, 0.250, 0.625)
Lu (0.375, 0.750, 0.625)
Lu (0.875, 0.250, 0.625)
O (0.172, 0.782, 0.391)
O (0.609, 0.218, 0.391)
O (0.609, 0.782, 0.391)
O (0.141, 0.282, 0.422)
O (0.609, 0.218, 0.828)
O (0.141, 0.718, 0.859)
O (0.141, 0.282, 0.859)
O (0.578, 0.718, 0.859)

## Properties
The calculation puts the total energy at -6.945 eV/atom.


ErAuSeO after structural relaxation. Source: the Open Quantum Materials Database, functional PBE.

Cell: 7.383 6.168 6.098 Å, 90.00 89.83 90.00°
Atoms (fractional coordinates):
Au (0.086, 0.707, 0.020)
Au (0.914, 0.207, 0.480)
Au (0.086, 0.793, 0.520)
Au (0.914, 0.293, 0.980)
Er (0.400, 0.997, 0.250)
Er (0.600, 0.497, 0.250)
Er (0.400, 0.503, 0.750)
Er (0.600, 0.003, 0.750)
O (0.501, 0.260, 0.000)
O (0.499, 0.760, 0.500)
O (0.501, 0.240, 0.500)
O (0.499, 0.740, 0.000)
Se (0.804, 0.951, 0.192)
Se (0.196, 0.451, 0.308)
Se (0.804, 0.549, 0.692)
Se (0.196, 0.049, 0.808)

## Properties
The calculation puts the total energy at -5.750 eV/atom. For the relative energy among the computed polymorphs, the calculation gives 0.962 eV per formula unit.